A geometry-optimized HoCu9Ag2 structure. Source: Alexandria, functional PBE-GGA.

Cell lengths 4.9826, 4.9826, 8.5452 Å; angles 73.05, 73.05, 60.00 degrees
Sites, in units of the cell vectors:
Ho: 0.0000 0.0000 0.0000
Cu: 0.6666 0.6666 0.0002
Cu: 0.3334 0.3334 0.9998
Cu: 0.5000 0.5000 0.5000
Cu: 0.4144 0.4144 0.2531
Cu: 0.9182 0.4144 0.2531
Cu: 0.4144 0.9182 0.2531
Cu: 0.5856 0.5856 0.7469
Cu: 0.5856 0.0818 0.7469
Cu: 0.0818 0.5856 0.7469
Ag: 0.8556 0.8556 0.4332
Ag: 0.1444 0.1444 0.5668

## Properties
DOS at the Fermi energy = 6.60 states/eV/f.u.
Calculated formation energy = -0.0825 eV per atom
Uncorrected energy = -48.1 eV/cell

=====

A geometry-optimized CdGaPt2 structure. Source: Alexandria, functional PBE-GGA.

Cell lengths 2.9867, 2.9867, 7.3393 Å; angles 90.00, 90.00, 90.00 degrees
Sites, in units of the cell vectors:
Ga: 0.5000 0.5000 0.0000
Pt: 0.0000 0.0000 0.7840
Pt: 0.0000 0.0000 0.2160
Cd: 0.5000 0.5000 0.5000

## Properties
DOS at the Fermi energy = 1.47 states/eV/f.u.
Calculated formation energy = -0.4847 eV per atom
Uncorrected energy = -18.0 eV/cell

=====

A geometry-optimized Ac4Ru6O19 structure. Source: Alexandria, functional PBE-GGA.

Cell lengths 7.9791, 7.9791, 7.9791 Å; angles 109.47, 109.47, 109.47 degrees
Sites, in units of the cell vectors:
Ac: 0.0000 0.0000 0.6733
Ac: 0.0000 0.6733 0.0000
Ac: 0.3267 0.3267 0.3267
Ac: 0.6733 0.0000 0.0000
Ru: 0.3627 0.5000 0.8627
Ru: 0.6373 0.5000 0.1373
Ru: 0.1373 0.6373 0.5000
Ru: 0.8627 0.3627 0.5000
Ru: 0.5000 0.8627 0.3627
Ru: 0.5000 0.1373 0.6373
O: 0.6695 0.0000 0.6695
O: 0.3305 0.0000 0.3305
O: 0.3305 0.3305 0.0000
O: 0.6695 0.6695 0.0000
O: 0.0000 0.6695 0.6695
O: 0.0000 0.3305 0.3305
O: 0.0000 0.0000 0.0000
O: 0.3296 0.2684 0.6326
O: 0.6704 0.3030 0.9388
O: 0.6358 0.6970 0.3674
O: 0.9388 0.6704 0.3030
O: 0.3642 0.7316 0.0612
O: 0.6326 0.3296 0.2684
O: 0.0612 0.3642 0.7316
O: 0.3674 0.6358 0.6970
O: 0.7316 0.0612 0.3642
O: 0.3030 0.9388 0.6704
O: 0.2684 0.6326 0.3296
O: 0.6970 0.3674 0.6358

## Properties
DOS at the Fermi energy = 16.35 states/eV/f.u.
Energy relative to the elements, uncorrected = -1.88 eV per atom
Uncorrected energy = -220.9 eV/cell

=====

A geometry-optimized KBa2N structure. Source: Alexandria, functional PBE-GGA.

Cell lengths 4.0992, 4.0992, 23.7583 Å; angles 90.00, 90.00, 120.00 degrees
Sites, in units of the cell vectors:
K: 0.6667 0.3333 0.7500
K: 0.3333 0.6667 0.2500
Ba: 0.3333 0.6667 0.4369
Ba: 0.6667 0.3333 0.9369
Ba: 0.3333 0.6667 0.0631
Ba: 0.6667 0.3333 0.5631
N: 0.0000 0.0000 0.0000
N: 0.0000 0.0000 0.5000

## Properties
DOS at the Fermi energy = 3.42 states/eV/f.u.
Energy relative to the elements, uncorrected = -0.26 eV per atom
Uncorrected energy = -28.6 eV/cell

=====

A geometry-optimized KGeBiO4 structure. Source: Alexandria, functional PBE-GGA.

Cell lengths 6.1820, 6.0555, 7.4296 Å; angles 90.00, 110.49, 90.00 degrees
Sites, in units of the cell vectors:
K: 0.6911 0.7500 0.9512
K: 0.3089 0.2500 0.0488
Ge: 0.2655 0.7500 0.3203
Ge: 0.7345 0.2500 0.6797
Bi: 0.7871 0.7500 0.4912
Bi: 0.2129 0.2500 0.5088
O: 0.9222 0.4827 0.7117
O: 0.0778 0.9827 0.2883
O: 0.0778 0.5173 0.2883
O: 0.9222 0.0173 0.7117
O: 0.4538 0.7500 0.1892
O: 0.5462 0.2500 0.8108
O: 0.4709 0.7500 0.5637
O: 0.5291 0.2500 0.4363

## Properties
DOS at the Fermi energy = 0.00 states/eV/f.u.
Energy relative to the elements, uncorrected = -1.56 eV per atom
Uncorrected energy = -80.7 eV/cell

=====

A geometry-optimized TbHoRh2 structure. Source: Alexandria, functional PBE-GGA.

Cell lengths 3.5114, 4.7846, 4.7846 Å; angles 90.00, 90.00, 90.00 degrees
Sites, in units of the cell vectors:
Rh: 0.0000 0.0000 0.5000
Rh: 0.0000 0.5000 0.0000
Tb: 0.5000 0.5000 0.5000
Ho: 0.5000 0.0000 0.0000

## Properties
DOS at the Fermi energy = 1.99 states/eV/f.u.
Calculated formation energy = -0.8735 eV per atom
Energy above the most stable polymorph in this dataset = 3 meV/atom
Uncorrected energy = -27.4 eV/cell